# 1
The following is a DFT calculation (PBE) of an optimized crystal structure of Li3Zn3Ag2.

a = 4.0379 Å, b = 4.7667 Å, c = 14.2971 Å
α = 90.00°, β = 90.00°, γ = 115.06°
Fractional coordinates of all 16 atoms:
1 Li 0.8481 0.6963 0.2500
2 Li 0.0556 0.1112 0.9151
3 Li 0.1519 0.3037 0.7500
4 Li 0.9444 0.8888 0.0849
5 Li 0.0556 0.1112 0.5849
6 Li 0.9444 0.8888 0.4151
7 Ag 0.7661 0.5321 0.6503
8 Ag 0.2339 0.4679 0.3497
9 Ag 0.7661 0.5321 0.8497
10 Ag 0.2339 0.4679 0.1503
11 Zn 0.5449 0.0898 0.2500
12 Zn 0.3556 0.7112 0.9679
13 Zn 0.3556 0.7112 0.5321
14 Zn 0.4551 0.9102 0.7500
15 Zn 0.6444 0.2888 0.4679
16 Zn 0.6444 0.2888 0.0321

Output
* formation enthalpy at 0 K: -0.115 eV/atom
* raw total energy: -2.023 eV per atom
* ΔE to the lowest computed polymorph: 4.3 meV per atom
* total moment: 0.000 μB/f.u.
* space-group type: Cmcm

=====

# 2
The following is a DFT calculation (PBE) of an optimized crystal structure of Li3Zn4Ag4.

a = 2.8162 Å, b = 4.4622 Å, c = 14.1150 Å
α = 80.19°, β = 84.08°, γ = 91.28°
Fractional coordinates of all 11 atoms:
1 Li 0.1500 0.6277 0.7387
2 Li 0.0000 0.0000 0.0000
3 Li 0.8500 0.3723 0.2613
4 Zn 0.0931 0.1820 0.6353
5 Zn 0.7226 0.5405 0.9148
6 Zn 0.2774 0.4596 0.0852
7 Zn 0.9069 0.8180 0.3647
8 Ag 0.6788 0.7193 0.5612
9 Ag 0.3212 0.2808 0.4388
10 Ag 0.4770 0.9107 0.1853
11 Ag 0.5230 0.0894 0.8147

Output
* formation enthalpy at 0 K: -0.139 eV/atom
* raw total energy: -2.161 eV per atom
* ΔE to the lowest computed polymorph: 0.0 meV per atom
* total moment: 0.000 μB/f.u.
* space-group type: P-1

=====

# 3
The following is a DFT calculation (PBE) of an optimized crystal structure of Li2Zn4Ag5.

a = 5.6858 Å, b = 5.5686 Å, c = 7.4802 Å
α = 80.72°, β = 67.66°, γ = 59.30°
Fractional coordinates of all 11 atoms:
1 Ag 0.7562 0.8249 0.1814
2 Ag 0.0000 0.5000 0.5000
3 Ag 0.2438 0.1751 0.8186
4 Ag 0.2375 0.8249 0.1814
5 Ag 0.7625 0.1751 0.8186
6 Li 0.7344 0.3480 0.1833
7 Li 0.2656 0.6520 0.8167
8 Zn 0.2816 0.9426 0.4942
9 Zn 0.2790 0.3056 0.1365
10 Zn 0.7210 0.6944 0.8635
11 Zn 0.7184 0.0574 0.5058

Output
* formation enthalpy at 0 K: -0.060 eV/atom
* raw total energy: -2.168 eV per atom
* ΔE to the lowest computed polymorph: 59.7 meV per atom
* total moment: 0.000 μB/f.u.
* space-group type: C2/m

=====

# 4
The following is a DFT calculation (PBE) of an optimized crystal structure of Li8Zn4Ag.

a = 5.0259 Å, b = 7.0419 Å, c = 7.0419 Å
α = 82.68°, β = 69.09°, γ = 69.09°
Fractional coordinates of all 13 atoms:
1 Li 0.6621 0.3379 0.3379
2 Li 0.2973 0.2027 0.2027
3 Li 0.5000 0.2027 0.7973
4 Li 0.3379 0.6621 0.6621
5 Li 0.7027 0.7973 0.7973
6 Li 0.0000 0.3379 0.6621
7 Li 0.0000 0.6621 0.3379
8 Li 0.5000 0.7973 0.2027
9 Zn 0.5000 0.5000 0.0000
10 Zn 0.0000 0.0000 0.5000
11 Zn 0.5000 0.0000 0.5000
12 Zn 0.0000 0.5000 0.0000
13 Ag 0.0000 0.0000 0.0000

Output
* formation enthalpy at 0 K: -0.097 eV/atom
* raw total energy: -1.886 eV per atom
* total moment: 0.000 μB/f.u.
* space-group type: I4/mmm

=====

# 5
The following is a DFT calculation (PBE) of an optimized crystal structure of Li3Zn2Ag5.

a = 5.3069 Å, b = 8.9557 Å, c = 8.9557 Å
α = 99.56°, β = 72.77°, γ = 72.77°
Fractional coordinates of all 20 atoms:
1 Zn 0.1172 0.7276 0.0381
2 Zn 0.8828 0.2724 0.9619
3 Zn 0.6172 0.0381 0.7276
4 Zn 0.3828 0.9619 0.2724
5 Ag 0.0120 0.2380 0.2380
6 Ag 0.7421 0.0769 0.4389
7 Ag 0.7500 0.5000 0.5000
8 Ag 0.7579 0.5611 0.9231
9 Ag 0.2579 0.9231 0.5611
10 Ag 0.2500 0.5000 0.5000
11 Ag 0.2421 0.4389 0.0769
12 Ag 0.5120 0.2380 0.2380
13 Ag 0.4880 0.7620 0.7620
14 Ag 0.9880 0.7620 0.7620
15 Li 0.2500 0.0000 0.0000
16 Li 0.9127 0.7583 0.4164
17 Li 0.5873 0.5836 0.2417
18 Li 0.0873 0.2417 0.5836
19 Li 0.4127 0.4164 0.7583
20 Li 0.7500 0.0000 0.0000

Output
* formation enthalpy at 0 K: 0.029 eV/atom
* raw total energy: -2.226 eV per atom
* total moment: 0.000 μB/f.u.
* space-group type: Ibam

=====

# 6
The following is a DFT calculation (PBE) of an optimized crystal structure of Li8Zn6Ag.

a = 6.8548 Å, b = 6.8548 Å, c = 7.0159 Å
α = 60.76°, β = 60.76°, γ = 60.00°
Fractional coordinates of all 15 atoms:
1 Li 0.4152 0.4152 0.7544
2 Li 0.3407 0.1784 0.6161
3 Li 0.5848 0.5848 0.2456
4 Li 0.1352 0.6593 0.3839
5 Li 0.8216 0.1352 0.3839
6 Li 0.6593 0.8216 0.3839
7 Li 0.8648 0.3407 0.6161
8 Li 0.1784 0.8648 0.6161
9 Zn 0.5219 0.2804 0.1367
10 Zn 0.0610 0.5219 0.1367
11 Zn 0.7196 0.9390 0.8633
12 Zn 0.9390 0.4781 0.8633
13 Zn 0.4781 0.7196 0.8633
14 Zn 0.2804 0.0610 0.1367
15 Ag 0.0000 0.0000 0.0000

Output
* formation enthalpy at 0 K: -0.105 eV/atom
* raw total energy: -1.826 eV per atom
* ΔE to the lowest computed polymorph: 19.1 meV per atom
* total moment: 0.000 μB/f.u.
* space-group type: R-3

=====

# 7
The following is a DFT calculation (PBE) of an optimized crystal structure of Li2ZnAg.

a = 5.8093 Å, b = 5.8093 Å, c = 5.8093 Å
α = 56.38°, β = 152.11°, γ = 132.06°
Fractional coordinates of all 4 atoms:
1 Zn 0.0000 0.0000 0.0000
2 Li 0.0000 0.2501 0.2501
3 Li 0.0000 0.7499 0.7499
4 Ag 0.0000 0.5000 0.5000

Output
* formation enthalpy at 0 K: 0.010 eV/atom
* raw total energy: -1.978 eV per atom
* total moment: 0.000 μB/f.u.
* space-group type: Immm

=====

# 8
The following is a DFT calculation (PBE) of an optimized crystal structure of Li5ZnAg6.

a = 4.5129 Å, b = 7.8363 Å, c = 7.8363 Å
α = 121.02°, β = 106.99°, γ = 106.99°
Fractional coordinates of all 12 atoms:
1 Ag 0.2512 0.4184 0.0835
2 Ag 0.7551 0.2534 0.2534
3 Ag 0.2449 0.7466 0.7466
4 Ag 0.2512 0.0835 0.4184
5 Ag 0.7488 0.9165 0.5816
6 Ag 0.7488 0.5816 0.9165
7 Li 0.0000 0.6674 0.3326
8 Li 0.0000 0.3326 0.6674
9 Li 0.5000 0.8351 0.1649
10 Li 0.5000 0.5000 0.5000
11 Li 0.5000 0.1649 0.8351
12 Zn 0.0000 0.0000 0.0000

Output
* formation enthalpy at 0 K: -0.191 eV/atom
* raw total energy: -2.521 eV per atom
* ΔE to the lowest computed polymorph: 0.0 meV per atom
* total moment: 0.000 μB/f.u.
* space-group type: C2/m

=====

# 9
The following is a DFT calculation (PBE) of an optimized crystal structure of Li4ZnAg.

a = 3.3438 Å, b = 3.3438 Å, c = 8.7896 Å
α = 90.04°, β = 90.04°, γ = 90.01°
Fractional coordinates of all 6 atoms:
1 Li 0.5001 0.5001 0.8446
2 Li 0.0001 0.0001 0.3366
3 Li 0.4999 0.4999 0.1554
4 Li 0.9999 0.9999 0.6634
5 Ag 0.5000 0.5000 0.5000
6 Zn 0.0000 0.0000 0.0000

Output
* formation enthalpy at 0 K: -0.134 eV/atom
* raw total energy: -2.098 eV per atom
* ΔE to the lowest computed polymorph: 17.3 meV per atom
* total moment: 0.000 μB/f.u.
* space-group type: P4/mmm

=====

# 10
The following is a DFT calculation (PBE) of an optimized crystal structure of Li6ZnAg5.

a = 4.5654 Å, b = 6.0458 Å, c = 7.6719 Å
α = 66.80°, β = 78.60°, γ = 90.00°
Fractional coordinates of all 12 atoms:
1 Ag 0.3140 0.8353 0.3295
2 Ag 0.6858 0.6678 0.6644
3 Ag 0.0000 0.5000 0.0000
4 Ag 0.6860 0.1647 0.6705
5 Ag 0.3142 0.3322 0.3356
6 Li 0.8146 0.5832 0.3330
7 Li 0.5000 0.2504 0.0000
8 Li 0.1854 0.9164 0.6670
9 Li 0.5000 0.7496 0.0000
10 Li 0.8146 0.0836 0.3330
11 Li 0.1854 0.4168 0.6670
12 Zn 0.0000 0.0000 0.0000

Output
* formation enthalpy at 0 K: -0.204 eV/atom
* raw total energy: -2.455 eV per atom
* total moment: 0.000 μB/f.u.
* space-group type: C2/m

=====

# 11
The following is a DFT calculation (PBE) of an optimized crystal structure of LiZn2Ag2.

a = 3.9725 Å, b = 3.9725 Å, c = 6.6547 Å
α = 72.63°, β = 72.63°, γ = 90.00°
Fractional coordinates of all 5 atoms:
1 Li 0.0000 0.0000 0.0000
2 Zn 0.3996 0.3996 0.2008
3 Zn 0.6004 0.6004 0.7992
4 Ag 0.2500 0.7500 0.5000
5 Ag 0.7500 0.2500 0.5000

Output
* formation enthalpy at 0 K: 0.009 eV/atom
* raw total energy: -2.024 eV per atom
* ΔE to the lowest computed polymorph: 152.6 meV per atom
* total moment: 0.000 μB/f.u.
* space-group type: I4/mmm

=====

# 12
The following is a DFT calculation (PBE) of an optimized crystal structure of Li5Zn3Ag.

a = 5.8724 Å, b = 5.8724 Å, c = 10.9431 Å
α = 83.56°, β = 83.56°, γ = 108.78°
Fractional coordinates of all 18 atoms:
1 Zn 0.6640 0.6640 0.4249
2 Zn 0.3360 0.3360 0.5751
3 Zn 0.3187 0.3187 0.0909
4 Zn 0.0000 0.0000 0.5000
5 Zn 0.0000 0.0000 0.0000
6 Zn 0.6813 0.6813 0.9091
7 Li 0.6574 0.6574 0.6653
8 Li 0.7375 0.2625 0.0000
9 Li 0.3426 0.3426 0.3347
10 Li 0.0729 0.5742 0.7165
11 Li 0.4258 0.9271 0.2835
12 Li 0.5742 0.0729 0.7165
13 Li 0.2625 0.7375 0.0000
14 Li 0.6614 0.6614 0.1516
15 Li 0.3386 0.3386 0.8484
16 Li 0.9271 0.4258 0.2835
17 Ag 0.0178 0.0178 0.7481
18 Ag 0.9822 0.9822 0.2519

Output
* formation enthalpy at 0 K: -0.008 eV/atom
* raw total energy: -1.813 eV per atom
* total moment: 0.000 μB/f.u.
* space-group type: C2/m